1.
Computed, not measured: a geometry-optimized NiPdSe2 structure at the PBE level of DFT.

Volume: 19.84 Å³/atom
Raw total energy: -4.69 eV/atom
Formation energy (no corrections): -19 kJ per mole of atoms
Mass density: 6.76 g/cm3
Magnetic moment: 0.00 μB per cell
Energy above the most stable polymorph in this dataset: 0.019 eV per atom

Cell lengths 3.7975, 3.9554, 6.3161 Å; angles 83.52, 72.60, 61.33 degrees
Last column: nearest neighbours and their distance in Å.
Space group P1 (No. 1)
Inequivalent atoms, fractional coordinates:
Ni 0.0000 0.0000 0.0000 [1 per cell]  4 Se 2.29-2.31
Pd 0.3742 0.6842 0.5700 [1 per cell]  4 Se 2.49-2.54, 1 Ni 2.78
Se 0.3617 0.3479 0.9282 [1 per cell]  3 Ni 2.29-2.30, 1 Pd 2.49
Se 0.8019 0.0152 0.3829 [1 per cell]  1 Ni 2.31, 3 Pd 2.51-2.54

=====

2.
Computed, not measured: a geometry-optimized CdSn2Te4Pb structure at the PBE level of DFT.

Volume: 32.32 Å³/atom
Raw total energy: -3.46 eV/atom
Formation energy (no corrections): -30 kJ per mole of atoms
Mass density: 6.86 g/cm3
Magnetic moment: 0.00 μB per cell

Cell lengths 7.7744, 4.5180, 7.8140 Å; angles 90.00, 109.59, 90.00 degrees
Last column: nearest neighbours and their distance in Å.
Space group P2/m (No. 10)
Inequivalent atoms, fractional coordinates:
Cd 0.0000 0.0000 0.0000 [1 per cell]  6 Te 3.13-3.14
Sn 0.5000 0.0000 0.5000 [1 per cell]  6 Te 3.24
Sn 0.5000 0.5000 0.0000 [1 per cell]  6 Te 3.15
Te 0.2449 0.5000 0.2393 [2 per cell]  2 Cd 3.14, 3 Sn 3.15-3.24, 1 Pb 3.22
Te 0.2513 0.0000 0.7597 [2 per cell]  1 Cd 3.13, 3 Sn 3.15-3.24, 2 Pb 3.22
Pb 0.0000 0.5000 0.5000 [1 per cell]  6 Te 3.22

=====

Copy entry 2 word for word.
Computed, not measured: a geometry-optimized CdSn2Te4Pb structure at the PBE level of DFT.

Volume: 32.32 Å³/atom
Raw total energy: -3.46 eV/atom
Formation energy (no corrections): -30 kJ per mole of atoms
Mass density: 6.86 g/cm3
Magnetic moment: 0.00 μB per cell

Cell lengths 7.7744, 4.5180, 7.8140 Å; angles 90.00, 109.59, 90.00 degrees
Last column: nearest neighbours and their distance in Å.
Space group P2/m (No. 10)
Inequivalent atoms, fractional coordinates:
Cd 0.0000 0.0000 0.0000 [1 per cell]  6 Te 3.13-3.14
Sn 0.5000 0.0000 0.5000 [1 per cell]  6 Te 3.24
Sn 0.5000 0.5000 0.0000 [1 per cell]  6 Te 3.15
Te 0.2449 0.5000 0.2393 [2 per cell]  2 Cd 3.14, 3 Sn 3.15-3.24, 1 Pb 3.22
Te 0.2513 0.0000 0.7597 [2 per cell]  1 Cd 3.13, 3 Sn 3.15-3.24, 2 Pb 3.22
Pb 0.0000 0.5000 0.5000 [1 per cell]  6 Te 3.22